First-principles (GGA-PBE) data for crystalline SmV3 at its relaxed geometry, as listed in Alexandria via LeMat-Bulk.

Summary:
The space-group type is Pmm2, No. 25. As for the energy relative to the elements: 214 kJ/mol of formula units.

Cell lengths 3.0124, 4.2455, 5.9464 Å; angles 90.00, 90.00, 90.00 degrees
With the nearest neighbours (Å) after each atom.
Fractional coordinates of all 4 atoms:
Sm 0.0000 0.5000 0.3124  2 Sm 3.01, 8 V 3.12-3.29
V 0.0000 0.0000 0.9290  6 V 2.45-2.68
V 0.5000 0.0000 0.6042  4 V 2.45-2.48
V 0.5000 0.5000 0.8211  6 V 2.48-2.68